one | DFT (PBE-GGA) results for a relaxed LiCoBr2 crystal.

Cell: 3.8721 3.8721 6.4338 Å, 72.39 72.39 60.07°
With the nearest neighbours (Å) after each atom.
Atoms (fractional coordinates):
Br  0.0050  0.0050  0.9834  3 Co 2.64, 3 Li 2.75-2.76
Br  0.4950  0.4950  0.5166  3 Co 2.64, 3 Li 2.75-2.76
Co  0.7500  0.7500  0.7500  6 Br 2.64
Li  0.2500  0.2500  0.2500  6 Br 2.75-2.76

Summary:
- space-group type = C2/m, No. 12

two | DFT (PBE-GGA) results for a relaxed LiCoBr2 crystal.

Cell: 8.7666 8.7666 8.7666 Å, 156.34 156.34 33.71°
With the nearest neighbours (Å) after each atom.
Atoms (fractional coordinates):
Br  0.0000  0.0000  0.0000  4 Co 2.54
Br  0.2500  0.7500  0.5000  4 Li 2.54
Co  0.5000  0.5000  0.0000  4 Br 2.54
Li  0.7500  0.2500  0.5000  4 Br 2.54

Summary:
- space-group type = I-4m2, No. 119

Relative energies, unit meV per atom: one 0; two 159

one | DFT (PBE-GGA) results for a relaxed LiCoBr2 crystal.

Cell: 5.2162 4.0308 4.0359 Å, 78.02 90.00 90.00°
With the nearest neighbours (Å) after each atom.
Atoms (fractional coordinates):
Br  0.0000  0.8677  0.8679  3 Co 2.51-2.61, 2 Li 2.66
Br  0.5000  0.3789  0.3784  3 Li 2.56-2.60, 2 Co 2.67
Co  0.0000  0.4670  0.4671  5 Br 2.51-2.67
Li  0.5000  0.7865  0.7866  5 Br 2.56-2.66

Summary:
- space-group type = Amm2, No. 38

two | DFT (PBE-GGA) results for a relaxed LiCoBr2 crystal.

Cell: 5.5009 5.5009 5.5009 Å, 140.79 94.32 98.62°
With the nearest neighbours (Å) after each atom.
Atoms (fractional coordinates):
Br  0.0159  0.0159  0.0000  2 Co 2.50, 2 Li 2.65
Br  0.4841  0.4841  0.0000  2 Co 2.50, 2 Li 2.65
Co  0.2500  0.7500  0.5000  4 Br 2.50
Li  0.7500  0.2500  0.5000  4 Br 2.65

Summary:
- space-group type = Immm, No. 71

three | DFT (PBE-GGA) results for a relaxed LiCoBr2 crystal.

Cell: 5.5815 5.5815 4.1833 Å, 61.30 61.30 80.53°
With the nearest neighbours (Å) after each atom.
Atoms (fractional coordinates):
Br  0.0000  0.0000  0.0000  2 Co 2.56, 2 Li 2.56
Br  0.5000  0.5000  0.0000  2 Li 2.56, 2 Co 2.56
Co  0.5000  0.0000  0.5000  4 Br 2.56
Li  0.0000  0.5000  0.5000  4 Br 2.56

Summary:
- space-group type = C2/m, No. 12

Relative energies, unit meV per atom: one 0; two 135; three 150

one | DFT (PBE-GGA) results for a relaxed LiCo2Br crystal.

Cell: 4.7267 4.7267 2.9517 Å, 90.00 90.00 117.87°
With the nearest neighbours (Å) after each atom.
Atoms (fractional coordinates):
Br  0.0000  0.5000  0.5000  2 Li 2.44
Co  0.0000  0.0000  0.0000  2 Co 2.44
Co  0.5000  0.5000  0.0000  2 Co 2.44
Li  0.5000  0.0000  0.5000  2 Br 2.44

Summary:
- space-group type = Cmmm, No. 65

two | DFT (PBE-GGA) results for a relaxed LiCo2Br crystal.

Cell: 7.5102 7.5102 7.5102 Å, 154.05 154.05 37.03°
With the nearest neighbours (Å) after each atom.
Atoms (fractional coordinates):
Br  0.7500  0.2500  0.5000  4 Li 2.39
Co  0.0000  0.0000  0.0000  4 Co 2.39
Co  0.5000  0.5000  0.0000  4 Co 2.39
Li  0.2500  0.7500  0.5000  4 Br 2.39

Summary:
- space-group type = I4/mmm, No. 139

three | DFT (PBE-GGA) results for a relaxed LiCo2Br crystal.

Cell: 5.9112 5.9112 5.9112 Å, 148.76 137.25 53.89°
With the nearest neighbours (Å) after each atom.
Atoms (fractional coordinates):
Br  0.1840  0.6840  0.5000  2 Co 2.55
Co  0.9946  0.9946  0.0000  2 Co 2.23
Co  0.8463  0.3463  0.5000  2 Co 2.23
Li  0.4751  0.4751  0.0000  6 Co 2.55-2.69

Summary:
- space-group type = Imm2, No. 44

Relative energies, unit meV per atom: one 368; two 0; three 131

one | DFT (PBE-GGA) results for a relaxed LiCo2Br crystal.

Cell: 3.1615 3.2097 6.3483 Å, 75.28 90.00 90.00°
With the nearest neighbours (Å) after each atom.
Atoms (fractional coordinates):
Br  0.5000  0.9677  0.6877  4 Li 2.51
Co  0.0000  0.7745  0.0773  4 Co 2.44, 1 Li 2.63
Co  0.5000  0.1989  0.2286  4 Co 2.44
Li  0.0000  0.5590  0.5063  4 Br 2.51, 1 Co 2.63

Summary:
- space-group type = Pm, No. 6

two | DFT (PBE-GGA) results for a relaxed LiCo2Br crystal.

Cell: 6.4768 6.4768 3.3257 Å, 104.81 104.81 29.71°
With the nearest neighbours (Å) after each atom.
Atoms (fractional coordinates):
Br  0.2500  0.2500  0.2500  4 Li 2.35
Co  0.0303  0.0303  0.0301  4 Co 2.46, 1 Br 2.65
Co  0.4697  0.4697  0.4699  4 Co 2.46, 1 Br 2.65
Li  0.7500  0.7500  0.7500  4 Br 2.35

Summary:
- space-group type = I4/mmm, No. 139

Relative energies, unit meV per atom: one 0; two 68

one | DFT (PBE-GGA) results for a relaxed LiCo2Br crystal.

Cell: 7.5892 7.5892 5.8404 Å, 49.48 49.48 90.00°
With the nearest neighbours (Å) after each atom.
Atoms (fractional coordinates):
Co  0.6816  0.1250  0.2500  2 Co 2.46, 2 Br 2.47
Co  0.0684  0.6250  0.2500  2 Co 2.46, 2 Br 2.47
Co  0.3750  0.3184  0.7500  2 Co 2.46, 2 Br 2.47
Co  0.8750  0.9316  0.7500  2 Co 2.46, 2 Br 2.47
Br  0.0000  0.0000  0.0000  2 Li 2.30, 4 Co 2.47
Br  0.7500  0.2500  0.5000  2 Li 2.30, 4 Co 2.47
Li  0.5000  0.5000  0.0000  2 Br 2.30
Li  0.2500  0.7500  0.5000  2 Br 2.30

Summary:
- space-group type = I-42d, No. 122

two | DFT (PBE-GGA) results for a relaxed LiCo2Br crystal.

Cell: 3.5240 3.5240 7.1978 Å, 71.17 71.17 56.85°
With the nearest neighbours (Å) after each atom.
Atoms (fractional coordinates):
Br  0.3079  0.3079  0.2605  3 Li 2.51-2.57, 2 Co 2.69
Co  0.9644  0.9644  0.9470  3 Co 2.24-2.25
Co  0.7040  0.7040  0.7970  3 Co 2.24-2.25
Li  0.5237  0.5237  0.4955  3 Br 2.51-2.57, 1 Co 2.78

Summary:
- space-group type = Cm, No. 8

Relative energies, unit meV per atom: one 471; two 0

one | DFT (PBE-GGA) results for a relaxed LiCo2Br crystal.

Cell: 3.2143 3.2143 6.5720 Å, 90.00 90.00 90.00°
With the nearest neighbours (Å) after each atom.
Atoms (fractional coordinates):
Br  0.5000  0.5000  0.6449  4 Li 2.46, 1 Co 2.65
Co  0.0000  0.0000  0.1099  4 Co 2.43, 1 Li 2.59
Co  0.5000  0.5000  0.2418  4 Co 2.43, 1 Br 2.65
Li  0.0000  0.0000  0.5034  4 Br 2.46, 1 Co 2.59

Summary:
- space-group type = P4mm, No. 99

two | DFT (PBE-GGA) results for a relaxed LiCo2Br crystal.

Cell: 4.1884 4.1884 4.1884 Å, 60.00 60.00 60.00°
With the nearest neighbours (Å) after each atom.
Atoms (fractional coordinates):
Co  0.2500  0.2500  0.2500  4 Br 2.56, 4 Li 2.56
Co  0.7500  0.7500  0.7500  4 Br 2.56, 4 Li 2.56
Br  0.5000  0.5000  0.5000  8 Co 2.56
Li  0.0000  0.0000  0.0000  8 Co 2.56

Summary:
- space-group type = Fm-3m, No. 225

three | DFT (PBE-GGA) results for a relaxed LiCo2Br crystal.

Cell: 5.5253 3.4181 3.4220 Å, 90.37 90.00 90.00°
With the nearest neighbours (Å) after each atom.
Atoms (fractional coordinates):
Br  0.5000  0.7500  0.7500  4 Li 2.41-2.43
Co  0.0000  0.0040  0.0044  4 Co 2.37-2.45
Co  0.0000  0.4960  0.4956  4 Co 2.37-2.45
Li  0.5000  0.2500  0.2500  4 Br 2.41-2.43

Summary:
- space-group type = Cmmm, No. 65

four | DFT (PBE-GGA) results for a relaxed LiCo2Br crystal.

Cell: 2.8893 2.8893 8.5453 Å, 90.00 90.00 117.80°
With the nearest neighbours (Å) after each atom.
Atoms (fractional coordinates):
Br  0.5000  0.5000  0.7500  4 Co 2.60, 4 Br 2.89
Co  0.0000  0.0000  0.9987  2 Br 2.60, 2 Li 2.62, 4 Co 2.89
Co  0.0000  0.0000  0.5013  2 Br 2.60, 2 Li 2.62, 4 Co 2.89
Li  0.5000  0.5000  0.2500  4 Co 2.62, 4 Li 2.89

Summary:
- space-group type = Cmmm, No. 65

Relative energies, unit meV per atom: one 0; two 542; three 138; four 690

one | DFT (PBE-GGA) results for a relaxed LiCo2Br crystal.

Cell: 4.5487 4.5487 4.5487 Å, 129.18 129.18 74.72°
With the nearest neighbours (Å) after each atom.
Atoms (fractional coordinates):
Br  0.7500  0.2500  0.5000  8 Co 2.66-2.76, 4 Li 2.66
Co  0.0000  0.0000  0.0000  4 Co 2.66, 4 Br 2.66, 4 Li 2.76
Co  0.2500  0.7500  0.5000  4 Li 2.66, 4 Co 2.66, 4 Br 2.76
Li  0.5000  0.5000  0.0000  4 Br 2.66, 8 Co 2.66-2.76

Summary:
- space-group type = I-4m2, No. 119

two | DFT (PBE-GGA) results for a relaxed LiCo2Br crystal.

Cell: 3.3128 3.3128 5.4399 Å, 90.00 90.00 90.00°
With the nearest neighbours (Å) after each atom.
Atoms (fractional coordinates):
Br  0.5000  0.5000  0.7500  2 Li 2.72, 8 Co 2.84
Co  0.0000  0.0000  0.0465  1 Co 2.21
Co  0.0000  0.0000  0.4535  1 Co 2.21
Li  0.5000  0.5000  0.2500  8 Co 2.59, 2 Br 2.72

Summary:
- space-group type = P4/mmm, No. 123

Relative energies, unit meV per atom: one 46; two 0

one | DFT (PBE-GGA) results for a relaxed LiCoSe2Br crystal.

Cell: 4.5724 4.5724 5.9285 Å, 90.00 90.00 90.00°
With the nearest neighbours (Å) after each atom.
Atoms (fractional coordinates):
Co  0.0000  0.0000  0.0000  4 Se 2.29
Se  0.0000  0.5000  0.0000  2 Co 2.29
Se  0.5000  0.0000  0.0000  2 Co 2.29
Br  0.0000  0.0000  0.5000  2 Co 2.96, 4 Li 3.23
Li  0.5000  0.5000  0.5000  4 Br 3.23

Summary:
- space-group type = P4/mmm, No. 123

two | DFT (PBE-GGA) results for a relaxed LiCoSe2Br crystal.

Cell: 4.4499 4.4499 5.7239 Å, 90.00 90.00 90.00°
With the nearest neighbours (Å) after each atom.
Atoms (fractional coordinates):
Co  0.5000  0.5000  0.5000  4 Br 3.15
Se  0.0000  0.5000  0.0000  2 Li 2.22
Se  0.5000  0.0000  0.0000  2 Li 2.22
Br  0.0000  0.0000  0.5000  2 Li 2.86, 4 Co 3.15
Li  0.0000  0.0000  0.0000  4 Se 2.22

Summary:
- space-group type = P4/mmm, No. 123

Relative energies, unit meV per atom: one 0; two 712

one | DFT (PBE-GGA) results for a relaxed Mg2CoBr crystal.

Cell: 4.8228 4.8221 3.1918 Å, 90.00 90.00 90.00°
With the nearest neighbours (Å) after each atom.
Atoms (fractional coordinates):
Br  0.5000  0.0000  0.5000  8 Mg 2.89, 2 Br 3.19
Co  0.0000  0.5000  0.5000  8 Mg 2.89, 2 Co 3.19
Mg  0.0000  0.0000  0.0000  4 Co 2.89, 4 Br 2.89, 2 Mg 3.19
Mg  0.5000  0.5000  0.0000  4 Br 2.89, 4 Co 2.89, 2 Mg 3.19

Summary:
- space-group type = P4/mmm, No. 123

two | DFT (PBE-GGA) results for a relaxed Mg2CoBr crystal.

Cell: 7.3015 7.3015 6.1176 Å, 53.36 53.36 90.00°
With the nearest neighbours (Å) after each atom.
Atoms (fractional coordinates):
Mg  0.6095  0.1250  0.2500  2 Co 2.63, 2 Br 2.79
Mg  0.1405  0.6250  0.2500  2 Co 2.63, 2 Br 2.79
Mg  0.3750  0.3905  0.7500  2 Co 2.63, 2 Br 2.79
Mg  0.8750  0.8595  0.7500  2 Co 2.63, 2 Br 2.79
Co  0.5000  0.5000  0.0000  4 Mg 2.63
Co  0.2500  0.7500  0.5000  4 Mg 2.63
Br  0.0000  0.0000  0.0000  4 Mg 2.79
Br  0.7500  0.2500  0.5000  4 Mg 2.79

Summary:
- space-group type = I-42d, No. 122

Relative energies, unit meV per atom: one 0; two 126

one | DFT (PBE-GGA) results for a relaxed Mg3CoBr crystal.

Cell: 4.9411 4.9411 4.9411 Å, 90.00 90.00 90.00°
With the nearest neighbours (Å) after each atom.
Atoms (fractional coordinates):
Mg  0.0000  0.5000  0.0000  2 Co 2.47
Mg  0.0000  0.0000  0.5000  2 Co 2.47
Mg  0.5000  0.0000  0.0000  2 Co 2.47
Co  0.0000  0.0000  0.0000  6 Mg 2.47
Br  0.5000  0.5000  0.5000  12 Mg 3.49

Summary:
- space-group type = Pm-3m, No. 221

two | DFT (PBE-GGA) results for a relaxed Mg3CoBr crystal.

Cell: 5.0691 5.0691 5.0691 Å, 90.00 90.00 90.00°
With the nearest neighbours (Å) after each atom.
Atoms (fractional coordinates):
Mg  0.0000  0.5000  0.0000  2 Br 2.53
Mg  0.0000  0.0000  0.5000  2 Br 2.53
Mg  0.5000  0.0000  0.0000  2 Br 2.53
Co  0.5000  0.5000  0.5000  12 Mg 3.58
Br  0.0000  0.0000  0.0000  6 Mg 2.53

Summary:
- space-group type = Pm-3m, No. 221

Relative energies, unit meV per atom: one 0; two 605

one | DFT (PBE-GGA) results for a relaxed MgCo2Br2 crystal.

Cell: 7.4626 7.4626 3.2604 Å, 90.00 90.00 90.00°
With the nearest neighbours (Å) after each atom.
Atoms (fractional coordinates):
Mg  0.0000  0.0000  0.0000  4 Br 2.84
Mg  0.5000  0.5000  0.0000  4 Br 2.84
Co  0.1765  0.6765  0.5000  2 Br 2.44
Co  0.6765  0.8235  0.5000  2 Br 2.44
Co  0.8235  0.3235  0.5000  2 Br 2.44
Co  0.3235  0.1765  0.5000  2 Br 2.44
Br  0.3484  0.8484  0.0000  2 Co 2.44
Br  0.8484  0.6516  0.0000  2 Co 2.44
Br  0.6516  0.1516  0.0000  2 Co 2.44
Br  0.1516  0.3484  0.0000  2 Co 2.44

Summary:
- space-group type = P4/mbm, No. 127

two | DFT (PBE-GGA) results for a relaxed MgCo2Br2 crystal.

Cell: 3.3169 3.3169 11.6750 Å, 81.83 81.83 90.00°
With the nearest neighbours (Å) after each atom.
Atoms (fractional coordinates):
Mg  0.0000  0.0000  0.0000  8 Br 2.86
Co  0.7500  0.2500  0.5000  4 Co 2.35
Co  0.2500  0.7500  0.5000  4 Co 2.35
Br  0.4281  0.4281  0.1438  4 Mg 2.86
Br  0.5719  0.5719  0.8562  4 Mg 2.86

Summary:
- space-group type = I4/mmm, No. 139

Relative energies, unit meV per atom: one 484; two 0

one | DFT (PBE-GGA) results for a relaxed MnCo3Br crystal.

Cell: 4.3010 4.3010 4.3010 Å, 90.00 90.00 90.00°
With the nearest neighbours (Å) after each atom.
Atoms (fractional coordinates):
Mn  0.5000  0.5000  0.5000  12 Co 3.04
Co  0.0000  0.5000  0.0000  2 Br 2.15
Co  0.0000  0.0000  0.5000  2 Br 2.15
Co  0.5000  0.0000  0.0000  2 Br 2.15
Br  0.0000  0.0000  0.0000  6 Co 2.15

Summary:
- space-group type = Pm-3m, No. 221

two | DFT (PBE-GGA) results for a relaxed MnCo3Br crystal.

Cell: 4.3143 4.3143 4.3143 Å, 90.00 90.00 90.00°
With the nearest neighbours (Å) after each atom.
Atoms (fractional coordinates):
Mn  0.0000  0.0000  0.0000  6 Co 2.16
Co  0.0000  0.5000  0.0000  2 Mn 2.16
Co  0.0000  0.0000  0.5000  2 Mn 2.16
Co  0.5000  0.0000  0.0000  2 Mn 2.16
Br  0.5000  0.5000  0.5000  12 Co 3.05

Summary:
- space-group type = Pm-3m, No. 221

Relative energies, unit meV per atom: one 0; two 222